## 1
This record from the Alexandria database describes crystalline Ho3TlPt at its relaxed geometry. The functional is PBE.

a = 7.987 Å, b = 7.987 Å, c = 9.868 Å
α = 90.00°, β = 90.00°, γ = 152.64°
Positions (direct):
1 Ho 0.125 0.875 0.750
2 Ho 0.339 0.661 0.570
3 Ho 0.339 0.661 0.930
4 Ho 0.661 0.339 0.070
5 Ho 0.661 0.339 0.430
6 Ho 0.875 0.125 0.250
7 Tl 0.000 0.000 0.000
8 Tl 0.000 0.000 0.500
9 Pt 0.245 0.755 0.250
10 Pt 0.755 0.245 0.750

Values from the calculation:
calculated volume: 289.4 Å³/cell
DOS(E_F): 1.0920 states/eV/atom
total magnetic moment: 0.0 μB/cell


## 2
This record from the Alexandria database describes crystalline Ho3TlPt at its relaxed geometry. The functional is PBE.

a = 4.766 Å, b = 6.841 Å, c = 8.405 Å
α = 90.00°, β = 90.00°, γ = 90.00°
Positions (direct):
1 Ho 0.250 0.002 0.162
2 Ho 0.250 0.498 0.162
3 Ho 0.250 0.750 0.564
4 Ho 0.750 0.250 0.436
5 Ho 0.750 0.502 0.838
6 Ho 0.750 0.998 0.838
7 Tl 0.250 0.250 0.669
8 Tl 0.750 0.750 0.331
9 Pt 0.250 0.750 0.896
10 Pt 0.750 0.250 0.104

Values from the calculation:
calculated volume: 274.1 Å³/cell
DOS(E_F): 0.9052 states/eV/atom
total magnetic moment: 0.0 μB/cell


Which one is most stable, and which one is least stable? 2 is the most stable of them, while 1 is the least stable.


## 1
This record from the Alexandria database describes crystalline Ho4TlPt at its relaxed geometry. The functional is PBE.

a = 9.692 Å, b = 9.692 Å, c = 9.692 Å
α = 60.00°, β = 60.00°, γ = 60.00°
Positions (direct):
1 Ho 0.055 0.648 0.648
2 Ho 0.061 0.061 0.439
3 Ho 0.061 0.439 0.061
4 Ho 0.061 0.439 0.439
5 Ho 0.188 0.188 0.812
6 Ho 0.188 0.812 0.188
7 Ho 0.188 0.812 0.812
8 Ho 0.439 0.061 0.061
9 Ho 0.439 0.061 0.439
10 Ho 0.439 0.439 0.061
11 Ho 0.648 0.055 0.648
12 Ho 0.648 0.648 0.055
13 Ho 0.648 0.648 0.648
14 Ho 0.812 0.188 0.188
15 Ho 0.812 0.188 0.812
16 Ho 0.812 0.812 0.188
17 Tl 0.414 0.414 0.414
18 Tl 0.414 0.414 0.759
19 Tl 0.414 0.759 0.414
20 Tl 0.759 0.414 0.414
21 Pt 0.430 0.857 0.857
22 Pt 0.857 0.430 0.857
23 Pt 0.857 0.857 0.430
24 Pt 0.857 0.857 0.857

Values from the calculation:
calculated volume: 643.8 Å³/cell
DOS(E_F): 0.7913 states/eV/atom
total magnetic moment: 0.0 μB/cell


## 2
This record from the Alexandria database describes crystalline Ho4TlPt at its relaxed geometry. The functional is PBE.

a = 7.451 Å, b = 7.071 Å, c = 6.951 Å
α = 90.00°, β = 91.94°, γ = 90.00°
Positions (direct):
1 Ho 0.141 0.160 0.171
2 Ho 0.141 0.340 0.671
3 Ho 0.321 0.642 0.124
4 Ho 0.321 0.858 0.624
5 Ho 0.679 0.142 0.376
6 Ho 0.679 0.358 0.876
7 Ho 0.859 0.660 0.329
8 Ho 0.859 0.840 0.829
9 Tl 0.500 0.000 0.000
10 Tl 0.500 0.500 0.500
11 Pt 0.000 0.000 0.500
12 Pt 0.000 0.500 0.000

Values from the calculation:
calculated volume: 366.0 Å³/cell
DOS(E_F): 1.0773 states/eV/atom
total magnetic moment: 0.0 μB/cell


Which one is most stable, and which one is least stable? 1 is the most stable of them, while 2 is the least stable.


## 1
This record from the Alexandria database describes crystalline Ho6Tl2Pt at its relaxed geometry. The functional is PBE.

a = 3.827 Å, b = 8.664 Å, c = 8.664 Å
α = 119.91°, β = 90.00°, γ = 90.00°
Positions (direct):
1 Ho 0.000 0.000 0.000
2 Ho 0.000 0.511 0.755
3 Ho 0.000 0.755 0.511
4 Ho 0.500 0.150 0.755
5 Ho 0.500 0.360 0.360
6 Ho 0.500 0.755 0.150
7 Tl 0.000 0.088 0.422
8 Tl 0.000 0.422 0.088
9 Pt 0.500 0.757 0.757

Values from the calculation:
calculated volume: 249.0 Å³/cell
DOS(E_F): 1.2321 states/eV/atom
total magnetic moment: 0.2 μB/cell


## 2
This record from the Alexandria database describes crystalline Ho6Tl2Pt at its relaxed geometry. The functional is PBE.

a = 8.702 Å, b = 8.702 Å, c = 8.702 Å
α = 146.15°, β = 131.13°, γ = 60.77°
Positions (direct):
1 Ho 0.083 0.344 0.739
2 Ho 0.228 0.000 0.228
3 Ho 0.396 0.656 0.739
4 Ho 0.604 0.344 0.261
5 Ho 0.772 0.000 0.772
6 Ho 0.917 0.656 0.261
7 Tl 0.332 0.832 0.500
8 Tl 0.668 0.168 0.500
9 Pt 0.000 0.500 0.500

Values from the calculation:
calculated volume: 273.8 Å³/cell
DOS(E_F): 0.5743 states/eV/atom
total magnetic moment: 0.0 μB/cell


Which one is most stable, and which one is least stable? 1 is the most stable of them, while 2 is the least stable.


## 1
This record from the Alexandria database describes crystalline HoTmPt2 at its relaxed geometry. The functional is PBE.

a = 4.900 Å, b = 4.900 Å, c = 4.900 Å
α = 60.00°, β = 60.00°, γ = 60.00°
Positions (direct):
1 Ho 0.000 0.000 0.000
2 Tm 0.500 0.500 0.500
3 Pt 0.250 0.250 0.250
4 Pt 0.750 0.750 0.750

Values from the calculation:
calculated volume: 83.2 Å³/cell
DOS(E_F): 0.5053 states/eV/atom
total magnetic moment: 0.0 μB/cell


## 2
This record from the Alexandria database describes crystalline HoTmPt2 at its relaxed geometry. The functional is PBE.

a = 3.748 Å, b = 4.424 Å, c = 5.576 Å
α = 90.00°, β = 109.72°, γ = 90.00°
Positions (direct):
1 Ho 0.000 0.000 0.000
2 Tm 0.277 0.500 0.554
3 Pt 0.551 0.500 0.102
4 Pt 0.727 0.000 0.455

Values from the calculation:
calculated volume: 87.0 Å³/cell
DOS(E_F): 0.7510 states/eV/atom
total magnetic moment: 0.0 μB/cell


## 3
This record from the Alexandria database describes crystalline HoTmPt2 at its relaxed geometry. The functional is PBE.

a = 6.999 Å, b = 6.999 Å, c = 6.999 Å
α = 33.47°, β = 33.47°, γ = 33.47°
Positions (direct):
1 Ho 0.000 0.000 0.000
2 Tm 0.500 0.500 0.500
3 Pt 0.249 0.249 0.249
4 Pt 0.751 0.751 0.751

Values from the calculation:
calculated volume: 92.9 Å³/cell
DOS(E_F): 0.5965 states/eV/atom
total magnetic moment: 0.0 μB/cell


Which one is most stable, and which one is least stable? 2 is the most stable of them, while 3 is the least stable.


## 1
This record from the Alexandria database describes crystalline HoTmPt at its relaxed geometry. The functional is PBE.

a = 4.816 Å, b = 4.816 Å, c = 4.816 Å
α = 60.00°, β = 60.00°, γ = 60.00°
Positions (direct):
1 Ho 0.000 0.000 0.000
2 Tm 0.500 0.500 0.500
3 Pt 0.750 0.750 0.750

Values from the calculation:
calculated volume: 79.0 Å³/cell
DOS(E_F): 0.8004 states/eV/atom
total magnetic moment: 0.0 μB/cell


## 2
This record from the Alexandria database describes crystalline HoTmPt at its relaxed geometry. The functional is PBE.

a = 4.819 Å, b = 4.819 Å, c = 6.814 Å
α = 90.00°, β = 90.00°, γ = 90.00°
Positions (direct):
1 Ho 0.250 0.750 0.000
2 Ho 0.750 0.250 0.000
3 Tm 0.250 0.750 0.500
4 Tm 0.750 0.250 0.500
5 Pt 0.250 0.250 0.252
6 Pt 0.750 0.750 0.748

Values from the calculation:
calculated volume: 158.2 Å³/cell
DOS(E_F): 0.9464 states/eV/atom
total magnetic moment: 0.0 μB/cell


## 3
This record from the Alexandria database describes crystalline HoTmPt at its relaxed geometry. The functional is PBE.

a = 8.109 Å, b = 8.109 Å, c = 5.082 Å
α = 90.00°, β = 90.00°, γ = 154.46°
Positions (direct):
1 Ho 0.074 0.926 0.750
2 Ho 0.926 0.074 0.250
3 Tm 0.217 0.783 0.250
4 Tm 0.783 0.217 0.750
5 Pt 0.424 0.576 0.750
6 Pt 0.576 0.424 0.250

Values from the calculation:
calculated volume: 144.1 Å³/cell
DOS(E_F): 0.7249 states/eV/atom
total magnetic moment: 0.0 μB/cell


Which one is most stable, and which one is least stable? 1 is the most stable of them, while 3 is the least stable.


## 1
This record from the Alexandria database describes crystalline Ho2TmPt at its relaxed geometry. The functional is PBE.

a = 10.661 Å, b = 10.661 Å, c = 10.661 Å
α = 19.82°, β = 19.82°, γ = 19.82°
Positions (direct):
1 Ho 0.109 0.109 0.109
2 Ho 0.891 0.891 0.891
3 Tm 0.000 0.000 0.000
4 Pt 0.500 0.500 0.500

Values from the calculation:
calculated volume: 121.9 Å³/cell
DOS(E_F): 1.5559 states/eV/atom
total magnetic moment: 0.0 μB/cell


## 2
This record from the Alexandria database describes crystalline Ho2TmPt at its relaxed geometry. The functional is PBE.

a = 6.303 Å, b = 6.303 Å, c = 9.385 Å
α = 90.00°, β = 90.00°, γ = 145.39°
Positions (direct):
1 Ho 0.136 0.864 0.564
2 Ho 0.136 0.864 0.936
3 Ho 0.864 0.136 0.064
4 Ho 0.864 0.136 0.436
5 Tm 0.429 0.571 0.750
6 Tm 0.571 0.429 0.250
7 Pt 0.257 0.743 0.250
8 Pt 0.743 0.257 0.750

Values from the calculation:
calculated volume: 211.8 Å³/cell
DOS(E_F): 1.2587 states/eV/atom
total magnetic moment: 0.0 μB/cell


Which one is most stable, and which one is least stable? 2 is the most stable of them, while 1 is the least stable.